Entry from Alexandria via LeMat-Bulk: a relaxed Tl4RePb crystal (PBE).

Values from the calculation:
Density of states at the Fermi level (states/eV per atom): 0.954
Energy relative to the elements (eV per formula unit): 6.32

a b c (Å): 6.2324 6.2324 6.2324
angles (deg): 60.00 60.00 60.00
Closest atoms and distances in Å follow each position.
Fractional positions:
Tl 0.3744 0.3744 0.3744  6 Tl 3.10-3.13
Tl 0.3744 0.3744 0.8767  6 Tl 3.10-3.13
Tl 0.8767 0.3744 0.3744  6 Tl 3.10-3.13
Tl 0.3744 0.8767 0.3744  6 Tl 3.10-3.13
Pb 0.7500 0.7500 0.7500  12 Tl 3.66, 4 Re 3.82
Re 0.0000 0.0000 0.0000  12 Tl 3.65, 4 Pb 3.82